Cd3Sb | the Alexandria database | PBEsol | relaxed; DOS(E_F) = 1.43 states/eV per cell; crystal system = tetragonal; formation energy from raw total energies = 0.3 eV/f.u.; space group = No. 139; E_tot = -0.1441 Ry per atom
1.0
-2.2019 2.2019 4.7236
2.2019 -2.2019 4.7236
2.2019 2.2019 -4.7236
Cd Sb
3 1
Direct
0.0000 0.0000 0.0000
0.2500 0.7500 0.5000
0.7500 0.2500 0.5000
0.5000 0.5000 0.0000